Here is a relaxed Hg2GeN crystal from Alexandria. Energies are from PBE.

Calculated values
- Space group: Fm-3m (225)
- Energy relative to the elements, uncorrected: 1.27 eV per atom
- Calculated density: 10.7 g cm⁻³

abc: 4.742 4.742 4.742
angles: 60.00 60.00 60.00
Site moments in Bohr magnetons follow the coordinates.
Atoms (fractional coordinates):
1 Hg 0.750 0.750 0.750  0.03
2 Ge 0.500 0.500 0.500  -0.05
3 N 0.000 0.000 0.000  0.75
4 Hg 0.250 0.250 0.250  0.03